Entry 1:
Compound: Ho7SbSe5
Source: the Alexandria database
Functional: PBE
Structure: relaxed

Computed properties:
M_tot   0.0 μB/cell
Raw formation energy   -1.50 eV per atom

Unit cell a=13.2924 b=4.0452 c=24.1392 alpha=90.00 beta=90.03 gamma=90.00
Space group C2/m (No. 12)
One atom of each set of equivalent atoms:
Ho  0.0181  0.0000  0.2501 x4
Ho  0.0961  0.5000  0.1189 x4
Ho  0.0960  0.5000  0.3811 x4
Ho  0.1393  0.0000  0.5367 x4
Ho  0.1391  0.0000  0.9633 x4
Ho  0.1864  0.5000  0.8219 x4
Ho  0.1866  0.5000  0.6781 x4
Sb  0.1899  0.5000  0.2499 x4
Se  0.0000  0.5000  0.0000 x2
Se  0.0000  0.5000  0.5000 x2
Se  0.0494  0.0000  0.8589 x4
Se  0.0495  0.0000  0.6411 x4
Se  0.2234  0.0000  0.0716 x4
Se  0.2234  0.0000  0.4284 x4

***

Entry 2:
Compound: TiIBrN2
Source: the Alexandria database
Functional: PBE
Structure: relaxed

Computed properties:
M_tot   0.0 μB/cell
Energy relative to the lowest polymorph listed for this composition   0.000 eV/atom
Raw formation energy   0.57 eV per atom

Unit cell a=4.0069 b=4.0069 c=6.2738 alpha=90.00 beta=90.00 gamma=90.00
Space group P4/mmm (No. 123)
One atom of each set of equivalent atoms:
Ti  0.0000  0.0000  0.0000 x1
I  0.0000  0.0000  0.5000 x1
Br  0.5000  0.5000  0.5000 x1
N  0.0000  0.5000  0.0000 x2

***

Entry 3:
Compound: PmThAs2
Source: the Alexandria database
Functional: PBE
Structure: relaxed

Computed properties:
M_tot   0.0 μB/cell
Energy relative to the lowest polymorph listed for this composition   0.040 eV/atom
Formation energy from the elements   -1.44 eV per atom

Unit cell a=4.2265 b=4.2265 c=14.0162 alpha=90.00 beta=90.00 gamma=120.00
Space group P6_3/mmc (No. 194)
One atom of each set of equivalent atoms:
Pm  0.3333  0.6667  0.2500 x2
Th  0.0000  0.0000  0.0000 x2
As  0.3333  0.6667  0.6226 x4

***

Entry 4:
Compound: Pr2Tm4Pb3O2
Source: the Alexandria database
Functional: PBE
Structure: relaxed

Computed properties:
M_tot   0.0 μB/cell
Raw formation energy   -1.41 eV per atom

Unit cell a=4.6401 b=4.6401 c=25.7409 alpha=90.00 beta=90.00 gamma=90.00
Space group I4/mmm (No. 139)
One atom of each set of equivalent atoms:
Pr  0.0000  0.0000  0.1954 x4
Tm  0.0000  0.5000  0.0819 x8
Pb  0.0000  0.0000  0.3263 x4
Pb  0.0000  0.0000  0.5000 x2
O  0.0000  0.0000  0.0903 x4

***

Entry 5:
Compound: CsGeOs3
Source: the Alexandria database
Functional: PBE
Structure: relaxed

Computed properties:
M_tot   4.2 μB/cell
Energy relative to the lowest polymorph listed for this composition   1.863 eV/atom
Formation energy from the elements   3.96 eV per atom

Unit cell a=4.9948 b=4.9948 c=4.9948 alpha=90.00 beta=90.00 gamma=90.00
Space group Pm-3m (No. 221)
One atom of each set of equivalent atoms:
Cs  0.0000  0.0000  0.0000 x1
Ge  0.5000  0.5000  0.5000 x1
Os  0.0000  0.0000  0.5000 x3

***

Entry 6:
Compound: AcTb6Y3
Source: the Alexandria database
Functional: PBE
Structure: relaxed

Computed properties:
M_tot   0.0 μB/cell
Energy relative to the lowest polymorph listed for this composition   0.177 eV/atom
Formation energy from the elements   0.32 eV per atom

Unit cell a=9.9156 b=9.9156 c=12.1025 alpha=90.00 beta=90.00 gamma=120.00
Space group R32 (No. 155, hexagonal axes)
One atom of each set of equivalent atoms:
Ac  0.0000  0.0000  0.0000 x3
Tb  0.0000  0.3429  0.0000 x9
Tb  0.0000  0.6660  0.5000 x9
Y  0.0000  0.0000  0.2610 x6
Y  0.0000  0.0000  0.5000 x3

***

Entry 7:
Compound: TlP
Source: the Alexandria database
Functional: PBE
Structure: relaxed

Computed properties:
M_tot   0.0 μB/cell
Formation energy from the elements   0.27 eV per atom

Unit cell a=5.3841 b=5.3841 c=4.4318 alpha=90.00 beta=90.00 gamma=120.00
Space group P6_3/mmc (No. 194)
One atom of each set of equivalent atoms:
Tl  0.3333  0.6667  0.2500 x2
P  0.0000  0.0000  0.0000 x2

***

Entry 8:
Compound: BMoOs
Source: the Alexandria database
Functional: PBE
Structure: relaxed

Computed properties:
M_tot   0.0 μB/cell
Energy relative to the lowest polymorph listed for this composition   0.027 eV/atom
Formation energy from the elements   -0.21 eV per atom

Unit cell a=2.9368 b=9.1403 c=5.4388 alpha=90.00 beta=90.00 gamma=90.00
Space group Cmcm (No. 63)
One atom of each set of equivalent atoms:
B  0.0000  0.0995  0.2500 x4
Mo  0.0000  0.2174  0.7500 x4
Os  0.0000  0.5000  0.0000 x4

***

Entry 9:
Compound: BaYSb2
Source: the Alexandria database
Functional: PBE
Structure: relaxed

Computed properties:
M_tot   0.0 μB/cell
Energy relative to the lowest polymorph listed for this composition   0.264 eV/atom
Raw formation energy   -0.69 eV per atom

Unit cell a=4.6985 b=4.7209 c=11.6341 alpha=90.00 beta=90.00 gamma=90.00
Space group Imm2 (No. 44)
One atom of each set of equivalent atoms:
Ba  0.0000  0.0000  0.0000 x2
Y  0.0000  0.5000  0.2491 x2
Sb  0.0000  0.0000  0.5030 x2
Sb  0.0000  0.5000  0.7513 x2

***

Entry 10:
Compound: SiRu2Br
Source: the Alexandria database
Functional: PBE
Structure: relaxed

Computed properties:
M_tot   0.0 μB/cell
Energy relative to the lowest polymorph listed for this composition   0.386 eV/atom
Raw formation energy   0.45 eV per atom

Unit cell a=2.9243 b=2.9243 c=28.3361 alpha=90.00 beta=90.00 gamma=120.00
Space group R3m (No. 160, hexagonal axes)
One atom of each set of equivalent atoms:
Si  0.0000  0.0000  0.0000 x3
Ru  0.0000  0.0000  0.2672 x3
Ru  0.0000  0.0000  0.5273 x3
Br  0.0000  0.0000  0.7889 x3

***

Entry 11:
Compound: Na2CePdO4
Source: the Alexandria database
Functional: PBE
Structure: relaxed

Computed properties:
M_tot   0.0 μB/cell
Raw formation energy   -1.87 eV per atom

Unit cell a=5.9167 b=5.9167 c=6.4494 alpha=90.00 beta=90.00 gamma=90.00
Space group I-4 (No. 82)
One atom of each set of equivalent atoms:
Na  0.0000  0.0000  0.0000 x2
Na  0.0000  0.5000  0.2500 x2
Ce  0.0000  0.0000  0.5000 x2
Pd  0.0000  0.5000  0.7500 x2
O  0.1799  0.2086  0.7290 x8

***

Entry 12:
Compound: K2DyTmO4
Source: the Alexandria database
Functional: PBE
Structure: relaxed

Computed properties:
M_tot   0.0 μB/cell
Raw formation energy   -2.79 eV per atom

Unit cell a=5.9807 b=3.4527 c=6.5624 alpha=90.00 beta=107.67 gamma=90.00
Space group P2/m (No. 10)
One atom of each set of equivalent atoms:
K  0.0000  0.0000  0.0000 x1
K  0.5000  0.5000  0.0000 x1
Dy  0.0000  0.5000  0.5000 x1
Tm  0.5000  0.0000  0.5000 x1
O  0.2318  0.0000  0.6846 x2
O  0.2757  0.5000  0.3164 x2

***

Q: What is the formula in the fifth record?
A: CsGeOs3